No. 1
Compound: NbCoB4
Source: OQMD via LeMat-Bulk
Functional: PBE
Structure: relaxed

a = 3.0297 Å, b = 5.1781 Å, c = 6.6265 Å
α = 90.00°, β = 90.00°, γ = 90.00°
Closest atoms and distances in Å follow each position.
Sites, in units of the cell vectors:
Nb  0.0000  0.0000  0.0000  12 B 2.38-2.40
Nb  0.5000  0.5000  0.5000  12 B 2.38-2.40
Co  0.0000  0.0000  0.5000  12 B 2.35-2.43
Co  0.5000  0.5000  0.0000  12 B 2.35-2.43
B  0.0000  0.3270  0.2531  3 B 1.71-1.79
B  0.0000  0.3270  0.7469  3 B 1.71-1.79
B  0.0000  0.6730  0.2531  3 B 1.71-1.79
B  0.0000  0.6730  0.7469  3 B 1.71-1.79
B  0.5000  0.1730  0.2469  3 B 1.71-1.79
B  0.5000  0.1730  0.7531  3 B 1.71-1.79
B  0.5000  0.8270  0.2469  3 B 1.71-1.79
B  0.5000  0.8270  0.7531  3 B 1.71-1.79

Calculated values
Its space group is Immm (71). The calculation puts the uncorrected energy at -91.082 eV for the cell shown. The value obtained for the energy above the lowest structure with this stoichiometry is 125.9 meV per atom.

=====

No. 2
Compound: YLuPt
Source: OQMD via LeMat-Bulk
Functional: PBE
Structure: relaxed

a = 6.7026 Å, b = 6.7026 Å, c = 6.7026 Å
α = 90.00°, β = 90.00°, γ = 90.00°
Closest atoms and distances in Å follow each position.
Sites, in units of the cell vectors:
Y  0.0000  0.0000  0.0000  4 Pt 2.90, 4 Lu 2.90
Y  0.0000  0.5000  0.5000  4 Pt 2.90, 4 Lu 2.90
Y  0.5000  0.0000  0.5000  4 Pt 2.90, 4 Lu 2.90
Y  0.5000  0.5000  0.0000  4 Pt 2.90, 4 Lu 2.90
Lu  0.2500  0.2500  0.7500  4 Y 2.90
Lu  0.2500  0.7500  0.2500  4 Y 2.90
Lu  0.7500  0.2500  0.2500  4 Y 2.90
Lu  0.7500  0.7500  0.7500  4 Y 2.90
Pt  0.2500  0.2500  0.2500  4 Y 2.90
Pt  0.2500  0.7500  0.7500  4 Y 2.90
Pt  0.7500  0.2500  0.7500  4 Y 2.90
Pt  0.7500  0.7500  0.2500  4 Y 2.90

Calculated values
Its space group is F-43m (216). The calculation puts the uncorrected energy at -68.430 eV for the cell shown. The calculated formation energy is -0.5 kcal/mol of atoms.